The following is a PBE calculation of an optimized crystal structure of Na2Ti2O5, from Alexandria via LeMat-Bulk.

Summary:
**Formation energy from raw total energies**: -2.63 eV per atom
**Symmetry**: P2_1/c, No. 14

a = 12.3421 Å, b = 5.6772 Å, c = 10.8272 Å
α = 58.51°, β = 90.00°, γ = 90.00°
Fractional coordinates of all 36 atoms:
1 Ti 0.6825 0.6103 0.5764
2 Ti 0.1825 0.3897 0.9236
3 O 0.3432 0.1910 0.6212
4 O 0.0652 0.3534 0.8456
5 O 0.6969 0.7543 0.1190
6 O 0.8432 0.8090 0.8788
7 O 0.5604 0.1870 0.1108
8 O 0.1996 0.7623 0.8645
9 Na 0.4715 0.9455 0.3555
10 Na 0.4808 0.4072 0.8829
11 O 0.4396 0.8130 0.8892
12 Na 0.5192 0.5928 0.1171
13 Na 0.9808 0.5928 0.6171
14 Ti 0.6810 0.0041 0.1811
15 Na 0.0285 0.9455 0.8555
16 O 0.3004 0.7623 0.3645
17 O 0.9396 0.1870 0.6108
18 Ti 0.3190 0.9959 0.8189
19 O 0.3031 0.2457 0.8810
20 Ti 0.3175 0.3897 0.4236
21 O 0.5652 0.6466 0.6544
22 Ti 0.8190 0.0041 0.6811
23 Na 0.5285 0.0545 0.6445
24 O 0.9348 0.6466 0.1544
25 O 0.4348 0.3534 0.3456
26 O 0.0604 0.8130 0.3892
27 O 0.1969 0.2457 0.3810
28 Na 0.9715 0.0545 0.1445
29 O 0.8031 0.7543 0.6190
30 O 0.1568 0.1910 0.1212
31 Ti 0.1810 0.9959 0.3189
32 Ti 0.8175 0.6103 0.0764
33 O 0.6568 0.8090 0.3788
34 O 0.6996 0.2377 0.6355
35 Na 0.0192 0.4072 0.3829
36 O 0.8004 0.2377 0.1355

=====

The following is a PBE calculation of an optimized crystal structure of Sc2PdF2, from Alexandria via LeMat-Bulk.

Summary:
**Formation energy from raw total energies**: -1.75 eV per atom
**Polymorph energy (0 for the lowest one)**: 56.7 kJ/mol of atoms
**Symmetry**: P4/mbm, No. 127

a = 7.2162 Å, b = 7.2162 Å, c = 2.7510 Å
α = 90.00°, β = 90.00°, γ = 90.00°
Fractional coordinates of all 10 atoms:
1 F 0.3841 0.1159 0.5000
2 F 0.1159 0.6159 0.5000
3 Pd 0.0000 0.0000 0.0000
4 Pd 0.5000 0.5000 0.0000
5 F 0.8841 0.3841 0.5000
6 Sc 0.8219 0.6781 0.0000
7 Sc 0.6781 0.1781 0.0000
8 F 0.6159 0.8841 0.5000
9 Sc 0.3219 0.8219 0.0000
10 Sc 0.1781 0.3219 0.0000

=====

Q: formation energy from raw total energies of number 2 (Sc2PdF2)?
A: -1.75 eV per atom